1.
Compound: Ni3Se4
Source: the Alexandria database
Functional: GGA-PBE
Structure: optimized geometry

a = 7.073 Å, b = 7.073 Å, c = 7.073 Å
α = 60.00°, β = 60.00°, γ = 60.00°
Atoms (fractional coordinates):
Ni 0.625 0.125 0.125
Ni 0.125 0.125 0.125
Ni 0.125 0.125 0.625
Ni 0.500 0.500 0.500
Ni 0.750 0.750 0.750
Ni 0.125 0.625 0.125
Se 0.349 0.884 0.884
Se 0.366 0.901 0.366
Se 0.884 0.884 0.884
Se 0.901 0.366 0.366
Se 0.884 0.349 0.884
Se 0.884 0.884 0.349
Se 0.366 0.366 0.901
Se 0.366 0.366 0.366

Values from the calculation:
The uncorrected formation energy is -307 meV/atom. The value obtained for the total magnetic moment is 0.000 μB/atom.


2.
Compound: Ni5Se
Source: the Alexandria database
Functional: GGA-PBE
Structure: optimized geometry

a = 4.386 Å, b = 4.386 Å, c = 5.136 Å
α = 73.24°, β = 73.24°, γ = 48.12°
Last column: magnetic moment on the atom in μB.
Atoms (fractional coordinates):
Ni 0.975 0.975 0.546  0.23
Ni 0.973 0.973 0.062  0.20
Ni 0.636 0.636 0.232  0.23
Ni 0.638 0.638 0.716  0.20
Ni 0.306 0.306 0.389  0.33
Se 0.306 0.306 0.889  0.01

Values from the calculation:
The uncorrected formation energy is 60 meV/atom. The value obtained for the total magnetic moment is 0.190 μB/atom.


3.
Compound: NiSe5
Source: the Alexandria database
Functional: GGA-PBE
Structure: optimized geometry

a = 7.310 Å, b = 7.310 Å, c = 5.409 Å
α = 90.00°, β = 90.00°, γ = 151.24°
Atoms (fractional coordinates):
Se 0.690 0.310 0.500
Se 0.443 0.557 0.000
Se 0.421 0.579 0.500
Se 0.056 0.944 0.500
Se 0.668 0.332 0.000
Ni 0.055 0.945 0.000

Values from the calculation:
The uncorrected formation energy is -68 meV/atom. The value obtained for the total magnetic moment is 0.000 μB/atom. Its energy relative to the lowest polymorph listed for this composition is 0.000 eV per atom.


4.
Compound: Ni3Se4
Source: the Alexandria database
Functional: GGA-PBE
Structure: optimized geometry

a = 12.411 Å, b = 12.411 Å, c = 12.411 Å
α = 165.13°, β = 165.13°, γ = 21.09°
Atoms (fractional coordinates):
Se 0.552 0.552 0.000
Se 0.181 0.181 0.000
Se 0.448 0.448 0.000
Se 0.819 0.819 0.000
Ni 0.279 0.279 0.000
Ni 0.000 0.000 0.000
Ni 0.721 0.721 0.000

Values from the calculation:
The uncorrected formation energy is -21 meV/atom. The value obtained for the total magnetic moment is 0.001 μB/atom.


5.
Compound: Ni2Se
Source: the Alexandria database
Functional: GGA-PBE
Structure: optimized geometry

a = 4.136 Å, b = 4.136 Å, c = 5.249 Å
α = 90.00°, β = 90.00°, γ = 120.00°
Atoms (fractional coordinates):
Ni 0.000 0.000 0.000
Ni 0.333 0.667 0.250
Ni 0.000 0.000 0.500
Ni 0.667 0.333 0.750
Se 0.333 0.667 0.750
Se 0.667 0.333 0.250

Values from the calculation:
The uncorrected formation energy is 78 meV/atom. The value obtained for the total magnetic moment is 0.000 μB/atom.


6.
Compound: Ni2Se
Source: the Alexandria database
Functional: GGA-PBE
Structure: optimized geometry

a = 9.147 Å, b = 9.147 Å, c = 9.147 Å
α = 160.67°, β = 160.67°, γ = 27.47°
Atoms (fractional coordinates):
Ni 0.179 0.679 0.500
Ni 0.571 0.571 0.000
Ni 0.429 0.429 0.000
Ni 0.321 0.821 0.500
Se 0.750 0.250 0.500
Se 0.000 0.000 0.000

Values from the calculation:
The uncorrected formation energy is 219 meV/atom. The value obtained for the total magnetic moment is 0.000 μB/atom.